Compound: Na3WO6
Source: Alexandria
Functional: PBE with a Hubbard U
Structure: optimized geometry

```
Na3WO6
1.0
-1.8130 -3.2657 -4.4607
5.3532 2.2781 -0.0494
3.5252 -8.1848 4.5594
O W Na
12 2 6
Direct
0.6221 0.9154 0.3621
0.7068 0.6221 0.8621
0.0846 0.7068 0.3621
0.9154 0.2932 0.8621
0.2932 0.9154 0.1379
0.7068 0.0846 0.6379
0.3779 0.0846 0.8621
0.2932 0.3779 0.3621
0.6221 0.7068 0.1379
0.0846 0.3779 0.1379
0.3779 0.2932 0.6379
0.9154 0.6221 0.6379
0.3333 0.6667 0.2500
0.6667 0.3333 0.7500
0.6667 0.3333 0.4219
0.0000 0.0000 0.5000
0.0000 0.0000 0.0000
0.3333 0.6667 0.5781
0.3333 0.6667 0.9219
0.6667 0.3333 0.0781
```

Calculated values
The calculation puts the total energy at -5.4395 eV per atom. As for the symmetry: P6_322, No. 182. The value obtained for the density of states at the Fermi level is 3.426 states/eV/cell. Its spin magnetization is 3.0 μB per formula unit.